No. 1
Tb7P4Se4 after structural relaxation. Source: Alexandria via LeMat-Bulk, functional GGA-PBE.

Raw total energy, eV/cell: -182.248
Space-group type: I4/mmm
Uncorrected formation energy, eV/atom: -1.542

a = 7.323 Å, b = 10.686 Å, c = 10.686 Å
α = 83.26°, β = 69.96°, γ = 69.96°
Last column: magnetic moment on the atom in μB.
Positions (direct):
Se 0.500 0.165 0.835  0.00
Tb 0.289 0.000 0.421  0.02
Tb 0.000 0.720 0.280  0.06
P 0.603 0.500 0.793  0.00
Se 0.122 0.755 0.000  0.00
Tb 0.756 0.000 0.000  0.02
P 0.397 0.500 0.207  0.00
Tb 0.000 0.280 0.720  0.06
P 0.897 0.207 0.500  0.00
P 0.897 0.500 0.207  0.00
Tb 0.711 0.000 0.579  0.02
Se 0.878 0.000 0.245  0.00
Tb 0.289 0.421 0.000  0.02
Tb 0.280 0.720 0.720  0.06
P 0.603 0.793 0.500  0.00
P 0.103 0.793 0.500  0.00
Se 0.335 0.165 0.165  0.00
Tb 0.711 0.579 0.000  0.02
P 0.103 0.500 0.793  0.00
Se 0.878 0.245 0.000  0.00
Se 0.665 0.835 0.835  0.00
Se 0.122 0.000 0.755  0.00
Tb 0.244 0.000 0.000  0.02
Tb 0.140 0.360 0.360  0.12
Tb 0.500 0.360 0.640  0.12
Tb 0.720 0.280 0.280  0.06
Tb 0.860 0.640 0.640  0.12
Tb 0.500 0.640 0.360  0.12
P 0.397 0.207 0.500  0.00
Se 0.500 0.835 0.165  0.00

***

No. 2
Mg3NbTl after structural relaxation. Source: Alexandria via LeMat-Bulk, functional GGA-PBE.

E_form, eV/atom: 0.956
Raw total energy, eV/cell: -12.440
Space-group type: Pm-3m

a = 5.510 Å, b = 5.510 Å, c = 5.510 Å
α = 90.00°, β = 90.00°, γ = 90.00°
Last column: magnetic moment on the atom in μB.
Positions (direct):
Mg 0.500 0.000 0.000  0.06
Tl 0.500 0.500 0.500  0.01
Nb 0.000 0.000 0.000  2.56
Mg 0.000 0.500 0.000  0.04
Mg 0.000 0.000 0.500  0.00

***

No. 3
TaAgPt2 after structural relaxation. Source: Alexandria via LeMat-Bulk, functional GGA-PBE.

E_form, eV/atom: -0.288
Raw total energy, eV/cell: -27.937
Space-group type: Cmmm

a = 4.940 Å, b = 4.940 Å, c = 2.842 Å
α = 90.00°, β = 90.00°, γ = 108.28°
Positions (direct):
Pt 0.000 0.000 0.000
Ag 0.000 0.500 0.500
Ta 0.500 0.000 0.500
Pt 0.500 0.500 0.000

***

No. 4
Sm2Ge3SbRh4 after structural relaxation. Source: Alexandria via LeMat-Bulk, functional GGA-PBE.

Raw total energy, eV/cell: -65.120
Space-group type: P-4m2
Uncorrected formation energy, eV/atom: -0.830

a = 4.275 Å, b = 4.275 Å, c = 10.410 Å
α = 90.00°, β = 90.00°, γ = 90.00°
Positions (direct):
Sm 0.500 0.000 0.245
Ge 0.000 0.000 0.500
Rh 0.000 0.000 0.000
Sm 0.000 0.500 0.755
Rh 0.500 0.000 0.640
Rh 0.000 0.500 0.360
Sb 0.500 0.500 0.500
Rh 0.500 0.500 0.000
Ge 0.500 0.000 0.874
Ge 0.000 0.500 0.126

***

No. 5
GaSb2S after structural relaxation. Source: Alexandria via LeMat-Bulk, functional GGA-PBE.

Raw total energy, eV/cell: -14.440
Space-group type: Fm-3m
Uncorrected formation energy, eV/atom: 0.240

a = 5.002 Å, b = 5.002 Å, c = 5.002 Å
α = 60.00°, β = 60.00°, γ = 60.00°
Positions (direct):
S 0.000 0.000 0.000
Sb 0.250 0.250 0.250
Ga 0.500 0.500 0.500
Sb 0.750 0.750 0.750

***

No. 6
LaSc4Os after structural relaxation. Source: Alexandria via LeMat-Bulk, functional GGA-PBE.

E_form, eV/atom: 0.518
Raw total energy, eV/cell: -38.377
Space-group type: F-43m

a = 5.776 Å, b = 5.776 Å, c = 5.776 Å
α = 60.00°, β = 60.00°, γ = 60.00°
Last column: magnetic moment on the atom in μB.
Positions (direct):
Sc 0.373 0.881 0.373  0.19
Sc 0.881 0.373 0.373  0.19
La 0.750 0.750 0.750  0.14
Os 0.000 0.000 0.000  0.00
Sc 0.373 0.373 0.373  0.19
Sc 0.373 0.373 0.881  0.19

***

No. 7
Ti2IrOs after structural relaxation. Source: Alexandria via LeMat-Bulk, functional GGA-PBE.

E_form, eV/atom: -0.756
Raw total energy, eV/cell: -38.904
Space-group type: P4/mmm

a = 3.133 Å, b = 3.133 Å, c = 6.085 Å
α = 90.00°, β = 90.00°, γ = 90.00°
Positions (direct):
Os 0.500 0.500 0.000
Ti 0.000 0.000 0.751
Ti 0.000 0.000 0.249
Ir 0.500 0.500 0.500

***

No. 8
PuGeH2Ru after structural relaxation. Source: Alexandria via LeMat-Bulk, functional GGA-PBE.

Raw total energy, eV/cell: -74.318
Space-group type: Cmcm

a = 3.973 Å, b = 5.646 Å, c = 5.847 Å
α = 90.00°, β = 90.00°, γ = 110.60°
Last column: magnetic moment on the atom in μB.
Positions (direct):
Ge 0.422 0.845 0.750  -0.04
H 0.162 0.325 0.563  -0.01
Pu 0.293 0.585 0.250  5.02
Ru 0.000 0.000 0.500  0.00
Ru 0.000 0.000 0.000  0.00
Ge 0.578 0.155 0.250  -0.04
H 0.838 0.675 0.437  -0.01
H 0.838 0.675 0.063  -0.01
H 0.162 0.325 0.937  -0.01
Pu 0.707 0.415 0.750  5.02

***

No. 9
HfVGa3 after structural relaxation. Source: Alexandria via LeMat-Bulk, functional GGA-PBE.

E_form, eV/atom: 0.437
Raw total energy, eV/cell: -25.967
Space-group type: Pm-3m

a = 4.630 Å, b = 4.630 Å, c = 4.630 Å
α = 90.00°, β = 90.00°, γ = 90.00°
Positions (direct):
Hf 0.500 0.500 0.500
V 0.000 0.000 0.000
Ga 0.000 0.500 0.000
Ga 0.500 0.000 0.000
Ga 0.000 0.000 0.500

***

No. 10
InTeCl after structural relaxation. Source: Alexandria via LeMat-Bulk, functional GGA-PBE.

Raw total energy, eV/cell: -8.366
Space-group type: Imm2
Uncorrected formation energy, eV/atom: -0.213

a = 5.490 Å, b = 5.490 Å, c = 5.490 Å
α = 145.66°, β = 114.84°, γ = 75.78°
Positions (direct):
Te 0.679 0.679 0.000
In 0.312 0.312 0.000
Cl 0.008 0.008 0.000

***

Look up the raw total energy of the second one. -12.440 eV/cell

***

Which of these has the lowest raw total energy? Tb7P4Se4

***

What is the raw total energy in the eighth record? -74.318 eV/cell

***

Which value of raw total energy does entry 8 give? -74.318 eV/cell